VASP calculation (PBE) on a geometry-optimized Sc3Rh2 structure.

Unit cell a=3.237 b=3.237 c=17.586 alpha=90.00 beta=90.00 gamma=90.00
Each line ends with the local moment (μB).
Element x y z (fractional)
Sc: 0.000 0.000 0.134  0.10
Sc: 0.000 0.000 0.866  0.10
Sc: 0.500 0.500 0.000  0.33
Rh: 0.500 0.500 0.592  0.01
Rh: 0.500 0.500 0.408  0.01
Sc: 0.000 0.000 0.316  -0.01
Rh: 0.500 0.500 0.777  0.03
Rh: 0.500 0.500 0.223  0.03
Sc: 0.000 0.000 0.500  0.00
Sc: 0.000 0.000 0.684  -0.01

Calculated values
Crystal system = tetragonal
Formation energy = -793 meV/atom
N(E_F) = 4.20 states/eV/f.u.
Polymorph energy (0 for the lowest one) = 0.000 eV/atom

***

VASP calculation (PBE) on a geometry-optimized Mg3ScTa structure.

Unit cell a=5.224 b=5.224 c=5.224 alpha=90.00 beta=90.00 gamma=90.00
Each line ends with the local moment (μB).
Element x y z (fractional)
Ta: 0.000 0.000 0.000  1.45
Mg: 0.500 0.000 0.000  0.06
Sc: 0.500 0.500 0.500  -0.22
Mg: 0.000 0.000 0.500  0.02
Mg: 0.000 0.500 0.000  0.04

Calculated values
Crystal system = cubic
Formation energy = 1188 meV/atom
N(E_F) = 3.86 states/eV/f.u.
Polymorph energy (0 for the lowest one) = 0.000 eV/atom

***

VASP calculation (PBE) on a geometry-optimized Ce3In2Hg4 structure.

Unit cell a=5.048 b=6.178 c=9.454 alpha=116.58 beta=90.00 gamma=114.12
Each line ends with the local moment (μB).
Element x y z (fractional)
Hg: 0.922 0.845 0.588  0.01
Ce: 0.335 0.670 0.329  0.98
Hg: 0.299 0.599 0.967  0.01
In: 0.389 0.777 0.722  -0.01
Hg: 0.701 0.401 0.033  0.01
In: 0.611 0.223 0.278  -0.01
Ce: 0.665 0.330 0.671  0.98
Hg: 0.078 0.155 0.412  0.01
Ce: 0.000 0.000 0.000  0.97

Calculated values
Crystal system = monoclinic
Formation energy = -365 meV/atom
N(E_F) = 19.23 states/eV/f.u.

***

VASP calculation (PBE) on a geometry-optimized BaTiInBi2 structure.

Unit cell a=5.528 b=5.528 c=5.437 alpha=90.00 beta=90.00 gamma=90.00
Element x y z (fractional)
Ba: 0.500 0.500 0.500
Bi: 0.500 0.000 0.000
In: 0.000 0.000 0.500
Ti: 0.000 0.000 0.000
Bi: 0.000 0.500 0.000

Calculated values
Crystal system = tetragonal
Formation energy = -320 meV/atom
N(E_F) = 3.45 states/eV/f.u.